{"formula": "HfSiGeSb2", "functional": "PBE-GGA", "state": "relaxed", "e_form_raw_ev_per_atom": 0.964, "dos_at_fermi_per_ev_atom": 0.879, "volume_a3_per_atom": 28.114, "magmom_total_mub_per_cell": 0.0, "lattice": [[-4.278, 3.033, -0.171], [-2.943, -4.110, 0.730], [0.296, 0.710, 5.190]], "species": ["Sb", "Sb", "Hf", "Si", "Ge"], "frac_coords": [[0.000, 0.000, 0.500], [0.500, 0.000, 0.000], [0.000, 0.500, 0.000], [0.500, 0.500, 0.500], [0.000, 0.000, 0.000]]}